1.
The following is a PBE calculation of a relaxed structure of Dy2Y3Lu2Ni2Te2, from OQMD via LeMat-Bulk. Values from VASP.

Summary:
Raw total energy = -62.5 eV/cell
Mass density = 7.68 Mg/m³

The structure in Quantum ESPRESSO input format:
```
&SYSTEM
  ibrav = 0, nat = 11, ntyp = 5
/
ATOMIC_SPECIES
Dy 162.50 Dy.upf
Lu 174.97 Lu.upf
Ni 58.69 Ni.upf
Te 127.60 Te.upf
Y 88.91 Y.upf
ATOMIC_POSITIONS crystal
Dy 0.264 0.896 0.368
Dy 0.529 0.896 0.632
Lu 0.896 0.748 0.147
Lu 0.601 0.748 0.853
Ni 0.664 0.401 0.263
Ni 0.137 0.401 0.737
Te 0.241 0.241 0.000
Te 0.643 0.143 0.500
Y 0.284 0.098 0.186
Y 0.975 0.475 0.500
Y 0.913 0.098 0.814
CELL_PARAMETERS angstrom
-1.916 7.760 4.776
1.916 -7.760 4.776
1.916 7.760 -4.776
```

2.
The following is a PBE calculation of a relaxed structure of H4Os, from OQMD via LeMat-Bulk. Values from VASP.

Summary:
Raw total energy = -45.1 eV/cell
Mass density = 8.15 Mg/m³

The structure in Quantum ESPRESSO input format:
```
&SYSTEM
  ibrav = 0, nat = 10, ntyp = 2
/
ATOMIC_SPECIES
H 1.01 H.upf
Os 190.23 Os.upf
ATOMIC_POSITIONS crystal
H 0.315 0.454 0.053
H 0.473 0.789 0.222
H 0.211 0.527 0.278
H 0.546 0.685 0.447
H 0.454 0.315 0.553
H 0.789 0.473 0.722
H 0.527 0.211 0.778
H 0.685 0.546 0.947
Os 0.782 0.218 0.250
Os 0.218 0.782 0.750
CELL_PARAMETERS angstrom
-1.104 1.850 4.125
-3.072 2.326 2.610
-0.882 -8.097 -1.399
```

3.
The following is a PBE calculation of a relaxed structure of PmNdHf, from OQMD via LeMat-Bulk. Values from VASP.

Summary:
Formation enthalpy at 0 K = 0.8330 eV per atom
Raw total energy = -17.0 eV/cell
Mass density = 7.52 Mg/m³

The structure in Quantum ESPRESSO input format:
```
&SYSTEM
  ibrav = 0, nat = 3, ntyp = 3
/
ATOMIC_SPECIES
Hf 178.49 Hf.upf
Nd 144.24 Nd.upf
Pm 145.00 Pm.upf
ATOMIC_POSITIONS crystal
Hf 0.000 0.000 0.000
Nd 0.250 0.250 0.250
Pm 0.750 0.750 0.750
CELL_PARAMETERS angstrom
0.000 3.723 3.723
3.723 0.000 3.723
3.723 3.723 0.000
```

4.
The following is a PBE calculation of a relaxed structure of ScTaCoSn, from OQMD via LeMat-Bulk. Values from VASP.

Summary:
Raw total energy = -28.6 eV/cell
Mass density = 9.59 Mg/m³

The structure in Quantum ESPRESSO input format:
```
&SYSTEM
  ibrav = 0, nat = 4, ntyp = 4
/
ATOMIC_SPECIES
Co 58.93 Co.upf
Sc 44.96 Sc.upf
Sn 118.71 Sn.upf
Ta 180.95 Ta.upf
ATOMIC_POSITIONS crystal
Co 0.750 0.750 0.750
Sc 0.250 0.250 0.250
Sn 0.000 0.000 0.000
Ta 0.500 0.500 0.500
CELL_PARAMETERS angstrom
4.588 0.563 -0.081
1.868 3.970 1.457
2.385 0.117 3.959
```

5.
The following is a PBE calculation of a relaxed structure of YAuSO, from OQMD via LeMat-Bulk. Values from VASP.

Summary:
Raw total energy = -103.7 eV/cell
Mass density = 8.00 Mg/m³

The structure in Quantum ESPRESSO input format:
```
&SYSTEM
  ibrav = 0, nat = 16, ntyp = 4
/
ATOMIC_SPECIES
Au 196.97 Au.upf
O 16.00 O.upf
S 32.06 S.upf
Y 88.91 Y.upf
ATOMIC_POSITIONS crystal
Au 0.250 0.250 0.499
Au 0.750 0.250 0.499
Au 0.250 0.750 0.499
Au 0.750 0.750 0.499
O 0.250 0.250 0.000
O 0.750 0.250 0.000
O 0.250 0.750 0.000
O 0.750 0.750 0.000
S 0.500 0.000 0.285
S 0.000 0.500 0.285
S 0.500 0.500 0.714
S 0.000 0.000 0.715
Y 0.000 0.000 0.124
Y 0.500 0.500 0.125
Y 0.000 0.500 0.876
Y 0.500 0.000 0.876
CELL_PARAMETERS angstrom
-5.053 -1.209 1.871
0.708 -5.270 -1.491
3.478 -1.852 8.198
```

6.
The following is a PBE calculation of a relaxed structure of HoErSnC, from OQMD via LeMat-Bulk. Values from VASP.

Summary:
Raw total energy = -49.3 eV/cell
Mass density = 8.74 Mg/m³

The structure in Quantum ESPRESSO input format:
```
&SYSTEM
  ibrav = 0, nat = 8, ntyp = 4
/
ATOMIC_SPECIES
C 12.01 C.upf
Er 167.26 Er.upf
Ho 164.93 Ho.upf
Sn 118.71 Sn.upf
ATOMIC_POSITIONS crystal
C 0.000 0.000 0.250
C 0.000 0.000 0.750
Er 0.667 0.333 0.334
Er 0.667 0.333 0.666
Ho 0.333 0.667 0.166
Ho 0.333 0.667 0.834
Sn 0.667 0.333 0.000
Sn 0.333 0.667 0.500
CELL_PARAMETERS angstrom
3.593 0.000 0.000
-1.796 3.111 0.000
0.000 0.000 15.730
```

7.
The following is a PBE calculation of a relaxed structure of NbTc2Sn, from OQMD via LeMat-Bulk. Values from VASP.

Summary:
Raw total energy = -35.3 eV/cell
Mass density = 10.10 Mg/m³

The structure in Quantum ESPRESSO input format:
```
&SYSTEM
  ibrav = 0, nat = 4, ntyp = 3
/
ATOMIC_SPECIES
Nb 92.91 Nb.upf
Sn 118.71 Sn.upf
Tc 98.00 Tc.upf
ATOMIC_POSITIONS crystal
Nb 0.000 0.000 0.000
Sn 0.000 0.000 0.500
Tc 0.500 0.500 0.242
Tc 0.500 0.500 0.758
CELL_PARAMETERS angstrom
3.255 0.000 0.000
0.000 3.255 0.000
0.000 0.000 6.329
```

8.
The following is a PBE calculation of a relaxed structure of ZnFeIrPb, from OQMD via LeMat-Bulk. Values from VASP.

Summary:
Raw total energy = -20.6 eV/cell
Mass density = 13.25 Mg/m³

The structure in Quantum ESPRESSO input format:
```
&SYSTEM
  ibrav = 0, nat = 4, ntyp = 4
/
ATOMIC_SPECIES
Fe 55.84 Fe.upf
Ir 192.22 Ir.upf
Pb 207.20 Pb.upf
Zn 65.41 Zn.upf
ATOMIC_POSITIONS crystal
Fe 0.750 0.750 0.750
Ir 0.250 0.250 0.250
Pb 0.000 0.000 0.000
Zn 0.500 0.500 0.500
CELL_PARAMETERS angstrom
0.421 -0.169 4.496
-2.154 3.015 2.586
-3.498 -1.299 2.549
```

9.
The following is a PBE calculation of a relaxed structure of LiPaOs, from OQMD via LeMat-Bulk. Values from VASP.

Summary:
Raw total energy = -20.7 eV/cell
Mass density = 11.11 Mg/m³

The structure in Quantum ESPRESSO input format:
```
&SYSTEM
  ibrav = 0, nat = 3, ntyp = 3
/
ATOMIC_SPECIES
Li 6.94 Li.upf
Os 190.23 Os.upf
Pa 231.04 Pa.upf
ATOMIC_POSITIONS crystal
Li 0.250 0.250 0.250
Os 0.750 0.750 0.750
Pa 0.000 0.000 0.000
CELL_PARAMETERS angstrom
0.000 3.174 3.174
3.174 0.000 3.174
3.174 3.174 0.000
```

10.
The following is a PBE calculation of a relaxed structure of MgAl2FeCu4, from OQMD via LeMat-Bulk. Values from VASP.

Summary:
Raw total energy = -33.1 eV/cell
Mass density = 6.28 Mg/m³

The structure in Quantum ESPRESSO input format:
```
&SYSTEM
  ibrav = 0, nat = 8, ntyp = 4
/
ATOMIC_SPECIES
Al 26.98 Al.upf
Cu 63.55 Cu.upf
Fe 55.84 Fe.upf
Mg 24.30 Mg.upf
ATOMIC_POSITIONS crystal
Al 0.000 0.000 0.000
Al 0.500 0.500 0.500
Cu 0.500 0.000 0.261
Cu 0.000 0.500 0.261
Cu 0.500 0.000 0.739
Cu 0.000 0.500 0.739
Fe 0.000 0.000 0.500
Mg 0.500 0.500 0.000
CELL_PARAMETERS angstrom
2.905 -2.905 0.000
-2.905 -2.905 0.000
0.000 0.000 -6.083
```

11.
The following is a PBE calculation of a relaxed structure of ZnPPbO, from OQMD via LeMat-Bulk. Values from VASP.

Summary:
Raw total energy = -34.7 eV/cell
Mass density = 6.71 Mg/m³

The structure in Quantum ESPRESSO input format:
```
&SYSTEM
  ibrav = 0, nat = 8, ntyp = 4
/
ATOMIC_SPECIES
O 16.00 O.upf
P 30.97 P.upf
Pb 207.20 Pb.upf
Zn 65.41 Zn.upf
ATOMIC_POSITIONS crystal
O 0.000 0.850 0.377
O 0.000 0.150 0.877
P 0.500 0.272 0.428
P 0.500 0.728 0.928
Pb 0.500 0.694 0.439
Pb 0.500 0.306 0.939
Zn 0.000 0.875 0.010
Zn 0.000 0.125 0.510
CELL_PARAMETERS angstrom
4.212 0.000 0.000
0.000 6.700 0.000
0.000 0.000 5.606
```

12.
The following is a PBE calculation of a relaxed structure of Pd2Pb2Au, from OQMD via LeMat-Bulk. Values from VASP.

Summary:
Raw total energy = -20.9 eV/cell
Mass density = 12.38 Mg/m³

The structure in Quantum ESPRESSO input format:
```
&SYSTEM
  ibrav = 0, nat = 5, ntyp = 3
/
ATOMIC_SPECIES
Au 196.97 Au.upf
Pb 207.20 Pb.upf
Pd 106.42 Pd.upf
ATOMIC_POSITIONS crystal
Au 0.000 0.000 0.000
Pb 0.610 0.610 0.220
Pb 0.390 0.390 0.780
Pd 0.750 0.250 0.500
Pd 0.250 0.750 0.500
CELL_PARAMETERS angstrom
-2.866 1.402 -2.484
-0.572 -3.733 -1.446
-2.953 0.039 6.721
```